SnP4O12 PBE relaxed; mass density = 2.83 g/cm3; energy relative to the elements, uncorrected = -1.992 eV per atom; DOS at the Fermi energy = 0.0 states/eV/cell; SG = Pbcn; volume = 15.0 Å³ per atom
1.0
-4.252 -4.167 -5.625
6.753 -6.501 -0.288
-6.122 -6.785 9.654
Sn P O
4 16 48
Direct
0.848 0.750 0.500
0.652 0.250 0.000
0.348 0.750 0.000
0.152 0.250 0.500
0.456 0.480 0.852
0.178 0.508 0.150
0.956 0.480 0.648
0.322 0.492 0.650
0.178 0.992 0.850
0.544 0.980 0.852
0.822 0.492 0.850
0.322 0.008 0.350
0.044 0.980 0.648
0.456 0.020 0.148
0.956 0.020 0.352
0.678 0.992 0.650
0.822 0.008 0.150
0.678 0.508 0.350
0.044 0.520 0.352
0.544 0.520 0.148
0.123 0.911 0.746
0.354 0.609 0.880
0.367 0.030 0.821
0.877 0.411 0.746
0.377 0.089 0.246
0.867 0.030 0.679
0.633 0.530 0.821
0.133 0.530 0.679
0.623 0.911 0.754
0.854 0.891 0.380
0.318 0.372 0.573
0.582 0.378 0.368
0.537 0.864 0.932
0.037 0.864 0.568
0.963 0.364 0.568
0.867 0.470 0.321
0.818 0.128 0.073
0.818 0.372 0.927
0.646 0.391 0.120
0.182 0.628 0.073
0.146 0.391 0.380
0.367 0.470 0.179
0.123 0.589 0.254
0.623 0.589 0.246
0.377 0.411 0.754
0.182 0.872 0.927
0.037 0.636 0.432
0.537 0.636 0.068
0.963 0.136 0.432
0.646 0.109 0.880
0.854 0.609 0.620
0.463 0.364 0.932
0.633 0.970 0.179
0.146 0.109 0.620
0.133 0.970 0.321
0.463 0.136 0.068
0.682 0.628 0.427
0.877 0.089 0.254
0.418 0.878 0.368
0.918 0.878 0.132
0.082 0.378 0.132
0.418 0.622 0.632
0.582 0.122 0.632
0.318 0.128 0.427
0.354 0.891 0.120
0.918 0.622 0.868
0.682 0.872 0.573
0.082 0.122 0.868